(1)
Al7Hg | PBEsol | relaxed

Cell: 5.7575 5.7575 5.7575 Å, 60.00 60.00 60.00°
Closest atoms and distances in Å follow each position.
Sites, in units of the cell vectors:
Al: 0.0000 0.0000 0.0000  12 Al 2.88
Al: 0.0000 0.0000 0.5000  2 Hg 2.88, 10 Al 2.88
Al: 0.0000 0.5000 0.0000  2 Hg 2.88, 10 Al 2.88
Al: 0.0000 0.5000 0.5000  2 Hg 2.88, 10 Al 2.88
Al: 0.5000 0.0000 0.0000  2 Hg 2.88, 10 Al 2.88
Al: 0.5000 0.0000 0.5000  2 Hg 2.88, 10 Al 2.88
Al: 0.5000 0.5000 0.0000  2 Hg 2.88, 10 Al 2.88
Hg: 0.5000 0.5000 0.5000  12 Al 2.88

Output
crystal system = cubic
symmetry = Fm-3m
formation energy from the elements = 0.4 eV/f.u.

=====

(2)
AlHg2 | PBEsol | relaxed

Cell: 6.4994 6.4994 6.4994 Å, 151.65 151.65 40.52°
Closest atoms and distances in Å follow each position.
Sites, in units of the cell vectors:
Al: 0.0000 0.0000 0.0000  8 Hg 2.95, 4 Al 3.18
Hg: 0.3434 0.3434 0.0000  4 Al 2.95, 8 Hg 3.18-3.20
Hg: 0.6566 0.6566 0.0000  4 Al 2.95, 8 Hg 3.18-3.20

Output
crystal system = tetragonal
symmetry = I4/mmm
formation energy from the elements = 0.3 eV/f.u.

=====

(3)
Al3Hg | PBEsol | relaxed

Cell: 9.5710 9.5710 9.5710 Å, 17.82 17.82 17.82°
Closest atoms and distances in Å follow each position.
Sites, in units of the cell vectors:
Al: 0.0000 0.0000 0.0000  12 Al 2.82-2.96
Al: 0.2540 0.2540 0.2540  9 Al 2.82-2.96, 3 Hg 3.00
Al: 0.7460 0.7460 0.7460  9 Al 2.82-2.96, 3 Hg 3.00
Hg: 0.5000 0.5000 0.5000  6 Hg 2.96, 6 Al 3.00

Output
crystal system = trigonal
symmetry = R-3m
formation energy from the elements = 0.4 eV/f.u.

=====

(4)
AlHgTeI2 | PBEsol | relaxed

Cell: 5.4502 5.4502 5.3734 Å, 90.00 90.00 90.00°
Closest atoms and distances in Å follow each position.
Sites, in units of the cell vectors:
Al: 0.0000 0.0000 0.0000  2 Te 2.69, 4 I 2.73
Hg: 0.5000 0.5000 0.5000  8 I 3.83, 4 Te 3.85
Te: 0.0000 0.0000 0.5000  2 Al 2.69
I: 0.0000 0.5000 0.0000  2 Al 2.73
I: 0.5000 0.0000 0.0000  2 Al 2.73

Output
crystal system = tetragonal
symmetry = P4/mmm
energy relative to the elements, uncorrected = -0.025 eV per atom

=====

(5)
AlInHg2 | PBEsol | relaxed

Cell: 3.2480 3.2480 8.2128 Å, 90.00 90.00 90.00°
Closest atoms and distances in Å follow each position.
Sites, in units of the cell vectors:
Al: 0.0000 0.0000 0.0000  8 Hg 2.94, 4 Al 3.25
In: 0.0000 0.0000 0.5000  8 Hg 3.23, 4 In 3.25
Hg: 0.5000 0.5000 0.2227  4 Al 2.94, 4 In 3.23, 4 Hg 3.25
Hg: 0.5000 0.5000 0.7773  4 Al 2.94, 4 In 3.23, 4 Hg 3.25

Output
crystal system = tetragonal
symmetry = P4/mmm
excess energy over the best structure of this formula in the dataset = 0.20 eV per formula unit
formation energy from the elements = 0.2 eV/f.u.

=====

(6)
AlIn2Hg | PBEsol | relaxed

Cell: 5.7536 5.7536 5.2180 Å, 106.38 106.38 33.11°
Closest atoms and distances in Å follow each position.
Sites, in units of the cell vectors:
Al: 0.0000 0.0000 0.0000  2 Hg 2.89, 7 In 3.03-3.17
In: 0.5331 0.5331 0.5048  4 Al 3.03-3.17, 3 Hg 3.06-3.20, 3 In 3.28-3.35
In: 0.7435 0.7435 0.1538  3 Al 3.05-3.16, 4 Hg 3.12-3.13, 3 In 3.28-3.35
Hg: 0.2933 0.2933 0.6852  2 Al 2.89, 7 In 3.06-3.20

Output
crystal system = monoclinic
symmetry = Cm
formation energy from the elements = 0.3 eV/f.u.

=====

(7)
Al2In2Hg | PBEsol | relaxed

Cell: 7.9850 7.9850 7.9850 Å, 151.67 151.67 40.50°
Closest atoms and distances in Å follow each position.
Sites, in units of the cell vectors:
Al: 0.2500 0.7500 0.5000  4 Al 2.76, 4 In 2.95
Al: 0.7500 0.2500 0.5000  4 Al 2.76, 4 In 2.95
In: 0.1026 0.1026 0.0000  4 Al 2.95, 1 In 3.07, 4 Hg 3.16
In: 0.8974 0.8974 0.0000  4 Al 2.95, 1 In 3.07, 4 Hg 3.16
Hg: 0.5000 0.5000 0.0000  8 In 3.16

Output
crystal system = tetragonal
symmetry = I4/mmm
formation energy from the elements = 0.8 eV/f.u.

=====

(8)
AlInHg2 | PBEsol | relaxed

Cell: 3.2562 3.2562 9.1843 Å, 90.00 90.00 113.09°
Closest atoms and distances in Å follow each position.
Sites, in units of the cell vectors:
Al: 0.0000 0.0000 0.0000  4 Hg 2.78
In: 0.0000 0.0000 0.5000  4 Hg 3.05, 4 In 3.26
Hg: 0.5000 0.5000 0.2310  2 Al 2.78, 2 In 3.05
Hg: 0.5000 0.5000 0.7690  2 Al 2.78, 2 In 3.05

Output
crystal system = orthorhombic
symmetry = Cmmm
excess energy over the best structure of this formula in the dataset = 0.29 eV per formula unit
formation energy from the elements = 0.3 eV/f.u.

=====

(9)
AlInHg2 | PBEsol | relaxed

Cell: 6.9728 6.9728 4.4159 Å, 108.13 108.13 26.59°
Closest atoms and distances in Å follow each position.
Sites, in units of the cell vectors:
Al: 0.0000 0.0000 0.0000  6 Hg 2.76-2.82
In: 0.7099 0.7099 0.2050  6 Hg 3.07-3.16, 2 Al 3.14, 2 In 3.21
Hg: 0.3200 0.3200 0.8122  2 Al 2.82, 4 In 3.07-3.08
Hg: 0.5339 0.5339 0.5329  4 Al 2.76-2.77

Output
crystal system = monoclinic
symmetry = Cm
excess energy over the best structure of this formula in the dataset = 0.13 eV per formula unit
formation energy from the elements = 0.2 eV/f.u.

=====

(10)
AlInHg2 | PBEsol | relaxed

Cell: 8.6882 8.6882 8.6882 Å, 22.84 22.84 22.84°
Closest atoms and distances in Å follow each position.
Sites, in units of the cell vectors:
Al: 0.0000 0.0000 0.0000  6 Hg 2.77
In: 0.5000 0.5000 0.5000  6 Hg 3.04
Hg: 0.2571 0.2571 0.2571  3 Al 2.77, 3 In 3.04
Hg: 0.7429 0.7429 0.7429  3 Al 2.77, 3 In 3.04

Output
crystal system = trigonal
symmetry = R-3m
excess energy over the best structure of this formula in the dataset = 0.00 eV per formula unit
formation energy from the elements = 0.0 eV/f.u.

=====

(11)
AlHg2Ir | PBEsol | relaxed

Cell: 2.9812 2.9812 8.0696 Å, 90.00 90.00 90.00°
Closest atoms and distances in Å follow each position.
Sites, in units of the cell vectors:
Al: 0.0000 0.0000 0.0000  4 Ir 2.49
Hg: 0.0000 0.0000 0.5820  4 Ir 2.94, 8 Hg 2.98-3.26
Hg: 0.5000 0.5000 0.2734  8 Hg 2.98-3.26, 4 Al 3.05
Ir: 0.5000 0.5000 0.8363  4 Al 2.49

Output
crystal system = tetragonal
symmetry = P4mm
formation energy from the elements = -0.4 eV/f.u.

=====

(12)
AlHgIr2 | PBEsol | relaxed

Cell: 4.8882 4.8882 4.8882 Å, 132.96 132.96 68.72°
Closest atoms and distances in Å follow each position.
Sites, in units of the cell vectors:
Al: 0.0000 0.0000 0.0000  8 Ir 2.76-2.81, 4 Hg 2.81
Hg: 0.7500 0.2500 0.5000  8 Ir 2.76-2.81, 4 Al 2.81
Ir: 0.2500 0.7500 0.5000  4 Hg 2.76, 4 Ir 2.81, 4 Al 2.81
Ir: 0.5000 0.5000 0.0000  4 Al 2.76, 4 Hg 2.81, 4 Ir 2.81

Output
crystal system = tetragonal
symmetry = I-4m2
excess energy over the best structure of this formula in the dataset = 0.77 eV per formula unit
formation energy from the elements = 0.5 eV/f.u.

=====

(13)
AlHgIr2 | PBEsol | relaxed

Cell: 4.8150 4.8150 4.8642 Å, 105.06 105.06 34.47°
Closest atoms and distances in Å follow each position.
Sites, in units of the cell vectors:
Al: 0.0000 0.0000 0.0000  4 Ir 2.52, 4 Hg 2.82
Hg: 0.5000 0.5000 0.5000  6 Ir 2.77-2.88, 4 Al 2.82, 2 Hg 2.85
Ir: 0.2726 0.2726 0.7740  2 Al 2.52, 2 Ir 2.75, 1 Hg 2.77
Ir: 0.7274 0.7274 0.2260  2 Al 2.52, 2 Ir 2.75, 1 Hg 2.77

Output
crystal system = monoclinic
symmetry = C2/m
excess energy over the best structure of this formula in the dataset = 0.00 eV per formula unit
formation energy from the elements = -0.3 eV/f.u.

=====

(14)
AlHgIr | PBEsol | relaxed

Cell: 4.2031 4.2031 4.2031 Å, 60.00 60.00 60.00°
Closest atoms and distances in Å follow each position.
Sites, in units of the cell vectors:
Al: 0.0000 0.0000 0.0000  4 Hg 2.57, 4 Ir 2.57
Hg: 0.2500 0.2500 0.2500  4 Al 2.57
Ir: 0.7500 0.7500 0.7500  4 Al 2.57

Output
crystal system = cubic
symmetry = F-43m
formation energy from the elements = 0.1 eV/f.u.

=====

(15)
Al2HgIr | PBEsol | relaxed

Cell: 6.6818 6.6818 6.6818 Å, 155.73 144.31 43.63°
Closest atoms and distances in Å follow each position.
Sites, in units of the cell vectors:
Al: 0.0000 0.0000 0.0000  4 Ir 2.50
Al: 0.6926 0.1926 0.5000  2 Ir 2.50
Hg: 0.3124 0.8124 0.5000  2 Hg 2.81, 6 Al 2.89-3.10, 2 Ir 3.00
Ir: 0.5259 0.5259 0.0000  6 Al 2.50

Output
crystal system = orthorhombic
symmetry = Imm2
formation energy from the elements = -1.3 eV/f.u.

=====

(16)
AlHg4Ir | PBEsol | relaxed

Cell: 5.5390 5.5390 5.5390 Å, 60.00 60.00 60.00°
Closest atoms and distances in Å follow each position.
Sites, in units of the cell vectors:
Al: 0.0000 0.0000 0.0000  12 Hg 3.25, 4 Ir 3.39
Hg: 0.3753 0.3753 0.3753  6 Hg 2.76-2.78
Hg: 0.3753 0.3753 0.8742  6 Hg 2.76-2.78
Hg: 0.3753 0.8742 0.3753  6 Hg 2.76-2.78
Hg: 0.8742 0.3753 0.3753  6 Hg 2.76-2.78
Ir: 0.7500 0.7500 0.7500  12 Hg 3.25, 4 Al 3.39

Output
crystal system = cubic
symmetry = F-43m
formation energy from the elements = 4.0 eV/f.u.

=====

(17)
KAlHg | PBEsol | relaxed

Cell: 6.6892 6.6892 6.6892 Å, 149.28 146.60 46.01°
Closest atoms and distances in Å follow each position.
Sites, in units of the cell vectors:
K: 0.0000 0.0000 0.0000  5 Al 3.54-3.70, 4 K 3.54-3.84, 5 Hg 3.57-3.68
Al: 0.7124 0.7124 0.0000  4 Hg 2.78
Hg: 0.2896 0.2896 0.0000  4 Al 2.78

Output
crystal system = orthorhombic
symmetry = Imm2
formation energy from the elements = 0.1 eV/f.u.

=====

(18)
LaAl2Hg2 | PBEsol | relaxed

Cell: 6.3188 6.3188 6.3188 Å, 138.25 138.25 60.52°
Closest atoms and distances in Å follow each position.
Sites, in units of the cell vectors:
La: 0.0000 0.0000 0.0000  8 Al 3.42, 8 Hg 3.54
Al: 0.3847 0.3847 0.0000  1 Al 2.52, 4 Hg 2.69
Al: 0.6153 0.6153 0.0000  1 Al 2.52, 4 Hg 2.69
Hg: 0.2500 0.7500 0.5000  4 Al 2.69
Hg: 0.7500 0.2500 0.5000  4 Al 2.69

Output
crystal system = tetragonal
symmetry = I4/mmm
formation energy from the elements = -2.2 eV/f.u.

=====

(19)
LaAl4Hg | PBEsol | relaxed

Cell: 5.6084 5.6084 5.6084 Å, 60.00 60.00 60.00°
Closest atoms and distances in Å follow each position.
Sites, in units of the cell vectors:
La: 0.0000 0.0000 0.0000  12 Al 3.29, 4 Hg 3.43
Al: 0.1232 0.6256 0.6256  6 Al 2.79-2.82
Al: 0.6256 0.1232 0.6256  6 Al 2.79-2.82
Al: 0.6256 0.6256 0.1232  6 Al 2.79-2.82
Al: 0.6256 0.6256 0.6256  6 Al 2.79-2.82
Hg: 0.2500 0.2500 0.2500  12 Al 3.29, 4 La 3.43

Output
crystal system = cubic
symmetry = F-43m
formation energy from the elements = -1.0 eV/f.u.

=====

(20)
LaAlHg2 | PBEsol | relaxed

Cell: 5.9528 5.9528 5.9528 Å, 45.22 45.22 45.22°
Closest atoms and distances in Å follow each position.
Sites, in units of the cell vectors:
La: 0.0000 0.0000 0.0000  6 Hg 3.18
Al: 0.5000 0.5000 0.5000  6 Hg 2.79
Hg: 0.2230 0.2230 0.2230  3 Al 2.79
Hg: 0.7770 0.7770 0.7770  3 Al 2.79

Output
crystal system = trigonal
symmetry = R-3m
formation energy from the elements = -1.8 eV/f.u.